First-principles (PBE-GGA) data for crystalline BaNdCl4 at its relaxed geometry, as listed in Alexandria via LeMat-Bulk.

Calculated values
* DOS at the Fermi energy: 0.06 states/eV per cell
* symmetry: C2/c (15)

Cell lengths 8.222, 8.222, 6.795 Å; angles 108.21, 108.21, 110.42 degrees
Element x y z (fractional)
1 Ba 0.138 0.862 0.750
2 Ba 0.862 0.138 0.250
3 Nd 0.497 0.503 0.250
4 Nd 0.503 0.497 0.750
5 Cl 0.151 0.268 0.776
6 Cl 0.220 0.558 0.426
7 Cl 0.268 0.151 0.276
8 Cl 0.442 0.780 0.074
9 Cl 0.558 0.220 0.926
10 Cl 0.732 0.849 0.724
11 Cl 0.780 0.442 0.574
12 Cl 0.849 0.732 0.224



First-principles (PBE-GGA) data for crystalline BaNdClO2 at its relaxed geometry, as listed in Alexandria via LeMat-Bulk.

Calculated values
* DOS at the Fermi energy: 0.00 states/eV per cell
* symmetry: P4mm (99)

Cell lengths 4.350, 4.350, 6.795 Å; angles 90.00, 90.00, 90.00 degrees
Element x y z (fractional)
1 Ba 0.000 0.000 0.000
2 Nd 0.500 0.500 0.331
3 Cl 0.500 0.500 0.751
4 O 0.000 0.500 0.214
5 O 0.500 0.000 0.214



First-principles (PBE-GGA) data for crystalline Ba2NdCl2O2 at its relaxed geometry, as listed in Alexandria via LeMat-Bulk.

Calculated values
* DOS at the Fermi energy: 4.37 states/eV per cell
* symmetry: I4/mmm (139)

Cell lengths 8.672, 8.672, 8.672 Å; angles 148.63, 148.63, 44.95 degrees
Element x y z (fractional)
1 Ba 0.114 0.114 0.000
2 Ba 0.886 0.886 0.000
3 Nd 0.500 0.500 0.000
4 Cl 0.316 0.316 0.000
5 Cl 0.684 0.684 0.000
6 O 0.000 0.500 0.500
7 O 0.500 0.000 0.500



First-principles (PBE-GGA) data for crystalline Ba2NdP2Cl2 at its relaxed geometry, as listed in Alexandria via LeMat-Bulk.

Calculated values
* DOS at the Fermi energy: 3.58 states/eV per cell
* symmetry: I4/mmm (139)

Cell lengths 8.891, 8.891, 8.891 Å; angles 143.97, 143.97, 51.87 degrees
Element x y z (fractional)
1 Ba 0.123 0.123 0.000
2 Ba 0.877 0.877 0.000
3 Nd 0.500 0.500 0.000
4 P 0.000 0.500 0.500
5 P 0.500 0.000 0.500
6 Cl 0.317 0.317 0.000
7 Cl 0.683 0.683 0.000



First-principles (PBE-GGA) data for crystalline BaNdTlCl6 at its relaxed geometry, as listed in Alexandria via LeMat-Bulk.

Calculated values
* DOS at the Fermi energy: 0.00 states/eV per cell
* symmetry: P-31c (163)

Cell lengths 7.783, 7.783, 13.020 Å; angles 90.00, 90.00, 120.00 degrees
Element x y z (fractional)
1 Ba 0.333 0.667 0.250
2 Ba 0.667 0.333 0.750
3 Nd 0.333 0.667 0.750
4 Nd 0.667 0.333 0.250
5 Tl 0.000 0.000 0.000
6 Tl 0.000 0.000 0.500
7 Cl 0.033 0.378 0.632
8 Cl 0.033 0.655 0.868
9 Cl 0.345 0.378 0.868
10 Cl 0.345 0.967 0.632
11 Cl 0.378 0.033 0.132
12 Cl 0.378 0.345 0.368
13 Cl 0.622 0.655 0.632
14 Cl 0.622 0.967 0.868
15 Cl 0.655 0.033 0.368
16 Cl 0.655 0.622 0.132
17 Cl 0.967 0.345 0.132
18 Cl 0.967 0.622 0.368



First-principles (PBE-GGA) data for crystalline Ba2NiCl at its relaxed geometry, as listed in Alexandria via LeMat-Bulk.

Calculated values
* DOS at the Fermi energy: 3.98 states/eV per cell
* symmetry: F-43m (216)

Cell lengths 5.494, 5.494, 5.494 Å; angles 60.00, 60.00, 60.00 degrees
Element x y z (fractional)
1 Ba 0.000 0.000 0.000
2 Ba 0.250 0.250 0.250
3 Ni 0.750 0.750 0.750
4 Cl 0.500 0.500 0.500



First-principles (PBE-GGA) data for crystalline Ba2NiCl at its relaxed geometry, as listed in Alexandria via LeMat-Bulk.

Calculated values
* DOS at the Fermi energy: 7.02 states/eV per cell
* symmetry: I-42d (122)

Cell lengths 7.394, 7.394, 7.394 Å; angles 114.43, 114.43, 99.96 degrees
Element x y z (fractional)
1 Ba 0.105 0.625 0.980
2 Ba 0.375 0.355 0.480
3 Ba 0.645 0.125 0.020
4 Ba 0.875 0.895 0.520
5 Ni 0.000 0.000 0.000
6 Ni 0.750 0.250 0.500
7 Cl 0.250 0.750 0.500
8 Cl 0.500 0.500 0.000



First-principles (PBE-GGA) data for crystalline BaNiCl at its relaxed geometry, as listed in Alexandria via LeMat-Bulk.

Calculated values
* DOS at the Fermi energy: 10.25 states/eV per cell
* symmetry: F-43m (216)

Cell lengths 5.116, 5.116, 5.116 Å; angles 60.00, 60.00, 60.00 degrees
Element x y z (fractional)
1 Ba 0.000 0.000 0.000
2 Ni 0.500 0.500 0.500
3 Cl 0.750 0.750 0.750



First-principles (PBE-GGA) data for crystalline BaNiCl at its relaxed geometry, as listed in Alexandria via LeMat-Bulk.

Calculated values
* DOS at the Fermi energy: 9.32 states/eV per cell
* symmetry: P3m1 (156)

Cell lengths 4.744, 4.744, 5.984 Å; angles 90.00, 90.00, 120.00 degrees
Element x y z (fractional)
1 Ba 0.000 0.000 0.000
2 Ni 0.333 0.667 0.670
3 Cl 0.667 0.333 0.238



First-principles (PBE-GGA) data for crystalline BaNiCl6 at its relaxed geometry, as listed in Alexandria via LeMat-Bulk.

Calculated values
* DOS at the Fermi energy: 1.02 states/eV per cell
* symmetry: C2/m (12)

Cell lengths 6.084, 6.084, 6.473 Å; angles 107.78, 107.78, 94.68 degrees
Element x y z (fractional)
1 Ba 0.000 0.000 0.000
2 Ni 0.500 0.500 0.500
3 Cl 0.205 0.559 0.222
4 Cl 0.244 0.244 0.539
5 Cl 0.441 0.795 0.778
6 Cl 0.559 0.205 0.222
7 Cl 0.756 0.756 0.461
8 Cl 0.795 0.441 0.778



First-principles (PBE-GGA) data for crystalline Ba2NiCl at its relaxed geometry, as listed in Alexandria via LeMat-Bulk.

Calculated values
* DOS at the Fermi energy: 2.67 states/eV per cell
* symmetry: R3m (160)

Cell lengths 8.642, 8.642, 8.642 Å; angles 29.41, 29.41, 29.41 degrees
Element x y z (fractional)
1 Ba 0.000 0.000 0.000
2 Ba 0.188 0.188 0.188
3 Ni 0.594 0.594 0.594
4 Cl 0.426 0.426 0.426



First-principles (PBE-GGA) data for crystalline Ba8Ni2Cl at its relaxed geometry, as listed in Alexandria via LeMat-Bulk.

Calculated values
* DOS at the Fermi energy: 14.23 states/eV per cell
* symmetry: P-1 (2)

Cell lengths 6.699, 9.918, 9.919 Å; angles 60.05, 90.00, 90.00 degrees
Element x y z (fractional)
1 Ba 0.248 0.330 0.334
2 Ba 0.248 0.834 0.336
3 Ba 0.248 0.836 0.830
4 Ba 0.250 0.333 0.833
5 Ba 0.750 0.667 0.167
6 Ba 0.752 0.164 0.170
7 Ba 0.752 0.166 0.664
8 Ba 0.752 0.670 0.666
9 Ni 0.253 0.667 0.167
10 Ni 0.747 0.333 0.833
11 Cl 0.500 0.000 0.500



Formation energy from raw total energies, respectively: -2.27; -2.90; -2.44; -1.55; -2.07; -0.08; -0.67; -0.29; -0.32; -1.12; -0.84; -0.14 eV per atom.